Compound: YTm3Hg
Source: the Alexandria database
Functional: GGA-PBE
Structure: relaxed

Results
**Energy relative to the elements**: -0.12 eV/atom
**Volume**: 147 Å³/f.u.

a b c (Å): 8.640 8.640 6.600
angles (deg): 87.86 119.91 130.36
Sites, in units of the cell vectors:
Y1 0.820 0.060 0.879
Y2 0.180 0.940 0.121
Tm1 0.730 0.091 0.320
Tm2 0.229 0.589 0.320
Tm3 0.771 0.411 0.680
Tm4 0.681 0.439 0.120
Tm5 0.270 0.909 0.680
Tm6 0.319 0.561 0.880
Hg1 0.746 0.746 0.492
Hg2 0.254 0.254 0.508